1.
VASP calculation (PBE-GGA) on a geometry-optimized CoB2I2 structure.

The structure in CIF format:
```
data_CoB2I2
_chemical_formula_sum 'Co1 B2 I2'
_space_group_name_H-M_alt 'P 1'
_space_group_IT_number 1
_space_group_name_Hall 'P 1'
_cell_length_a 5.4165
_cell_length_b 5.4165
_cell_length_c 5.4165
_cell_angle_alpha 125.16
_cell_angle_beta 125.16
_cell_angle_gamma 81.27
loop_
_atom_site_label
_atom_site_type_symbol
_atom_site_fract_x
_atom_site_fract_y
_atom_site_fract_z
Co1 Co 0.0000 0.0000 0.0000
B1 B 0.2500 0.7500 0.5000
B2 B 0.7500 0.2500 0.5000
I1 I 0.2944 0.2944 0.0000
I2 I 0.7056 0.7056 0.0000
```

Properties
**Energy**: -2.83 eV/atom
**E_form (uncorrected)**: 9.4 eV per formula unit
**Magnetization**: 1.0 μB/f.u.

***

2.
VASP calculation (PBE-GGA) on a geometry-optimized MgIr2Ru2 structure.

The structure in CIF format:
```
data_MgIr2Ru2
_chemical_formula_sum 'Mg2 Ir4 Ru4'
_space_group_name_H-M_alt 'P 1'
_space_group_IT_number 1
_space_group_name_Hall 'P 1'
_cell_length_a 7.5387
_cell_length_b 7.5387
_cell_length_c 2.7686
_cell_angle_alpha 90.00
_cell_angle_beta 90.00
_cell_angle_gamma 90.00
loop_
_atom_site_label
_atom_site_type_symbol
_atom_site_fract_x
_atom_site_fract_y
_atom_site_fract_z
Mg1 Mg 0.0000 0.0000 0.0000
Mg2 Mg 0.5000 0.5000 0.0000
Ir1 Ir 0.1751 0.3249 0.5000
Ir2 Ir 0.3249 0.8249 0.5000
Ir3 Ir 0.6751 0.1751 0.5000
Ir4 Ir 0.8249 0.6751 0.5000
Ru1 Ru 0.1211 0.6211 0.0000
Ru2 Ru 0.3789 0.1211 0.0000
Ru3 Ru 0.6211 0.8789 0.0000
Ru4 Ru 0.8789 0.3789 0.0000
```

Properties
**E_form**: 0.06 eV/atom
**Energy**: -7.51 eV/atom
**Magnetization**: 0.0 μB/f.u.

***

3.
VASP calculation (PBE-GGA) on a geometry-optimized CeSm6Y structure.

The structure in CIF format:
```
data_CeSm6Y
_chemical_formula_sum 'Ce1 Sm6 Y1'
_space_group_name_H-M_alt 'P 1'
_space_group_IT_number 1
_space_group_name_Hall 'P 1'
_cell_length_a 5.1035
_cell_length_b 5.1035
_cell_length_c 10.2049
_cell_angle_alpha 90.00
_cell_angle_beta 90.00
_cell_angle_gamma 90.00
loop_
_atom_site_label
_atom_site_type_symbol
_atom_site_fract_x
_atom_site_fract_y
_atom_site_fract_z
Ce1 Ce 0.0000 0.0000 0.0000
Sm1 Sm 0.0000 0.5000 0.2479
Sm2 Sm 0.0000 0.5000 0.7521
Sm3 Sm 0.5000 0.0000 0.2479
Sm4 Sm 0.5000 0.0000 0.7521
Sm5 Sm 0.5000 0.5000 0.0000
Sm6 Sm 0.5000 0.5000 0.5000
Y1 Y 0.0000 0.0000 0.5000
```

Properties
**E_form**: 0.05 eV/atom
**Energy**: -5.04 eV/atom
**Magnetization**: 1.0 μB/f.u.

***

4.
VASP calculation (PBE-GGA) on a geometry-optimized AcLuZnNi structure.

The structure in CIF format:
```
data_AcLuZnNi
_chemical_formula_sum 'Ac1 Lu1 Zn1 Ni1'
_space_group_name_H-M_alt 'P 1'
_space_group_IT_number 1
_space_group_name_Hall 'P 1'
_cell_length_a 5.1182
_cell_length_b 5.1182
_cell_length_c 5.1182
_cell_angle_alpha 60.00
_cell_angle_beta 60.00
_cell_angle_gamma 60.00
loop_
_atom_site_label
_atom_site_type_symbol
_atom_site_fract_x
_atom_site_fract_y
_atom_site_fract_z
Ac1 Ac 0.0000 0.0000 0.0000
Lu1 Lu 0.5000 0.5000 0.5000
Zn1 Zn 0.2500 0.2500 0.2500
Ni1 Ni 0.7500 0.7500 0.7500
```

Properties
**E_form**: -0.19 eV/atom
**Energy**: -4.11 eV/atom
**Magnetization**: 0.0 μB/f.u.

***

5.
VASP calculation (PBE-GGA) on a geometry-optimized Ti2CrBiS structure.

The structure in CIF format:
```
data_Ti2CrBiS
_chemical_formula_sum 'Ti2 Cr1 Bi1 S1'
_space_group_name_H-M_alt 'P 1'
_space_group_IT_number 1
_space_group_name_Hall 'P 1'
_cell_length_a 5.3136
_cell_length_b 5.3136
_cell_length_c 5.1030
_cell_angle_alpha 90.00
_cell_angle_beta 90.00
_cell_angle_gamma 90.00
loop_
_atom_site_label
_atom_site_type_symbol
_atom_site_fract_x
_atom_site_fract_y
_atom_site_fract_z
Ti1 Ti 0.0000 0.5000 0.0000
Ti2 Ti 0.5000 0.0000 0.0000
Cr1 Cr 0.0000 0.0000 0.5000
Bi1 Bi 0.0000 0.0000 0.0000
S1 S 0.5000 0.5000 0.5000
```

Properties
**Energy**: -5.48 eV/atom
**E_form (uncorrected)**: 6.0 eV per formula unit
**Magnetization**: 0.9 μB/f.u.

***

6.
VASP calculation (PBE-GGA) on a geometry-optimized CaPt3N structure.

The structure in CIF format:
```
data_CaPt3N
_chemical_formula_sum 'Ca1 Pt3 N1'
_space_group_name_H-M_alt 'P 1'
_space_group_IT_number 1
_space_group_name_Hall 'P 1'
_cell_length_a 5.1052
_cell_length_b 5.1052
_cell_length_c 5.1052
_cell_angle_alpha 90.00
_cell_angle_beta 90.00
_cell_angle_gamma 90.00
loop_
_atom_site_label
_atom_site_type_symbol
_atom_site_fract_x
_atom_site_fract_y
_atom_site_fract_z
Ca1 Ca 0.0000 0.0000 0.0000
Pt1 Pt 0.0000 0.0000 0.5000
Pt2 Pt 0.0000 0.5000 0.0000
Pt3 Pt 0.5000 0.0000 0.0000
N1 N 0.5000 0.5000 0.5000
```

Properties
**Energy**: -3.32 eV/atom
**E_form (uncorrected)**: 11.9 eV per formula unit
**Magnetization**: 3.0 μB/f.u.